Here is a relaxed structure of CuAu2 from Alexandria via LeMat-Bulk. Energies are from GGA-PBE.

a b c (Å): 5.103 5.103 5.103
angles (deg): 103.57 103.57 122.05
Positions (direct):
Cu (0.250, 0.250, 0.000)
Cu (0.750, 0.750, 0.000)
Au (0.158, 0.658, 0.817)
Au (0.342, 0.158, 0.500)
Au (0.658, 0.842, 0.500)
Au (0.842, 0.342, 0.183)

Results
ΔE to the lowest computed polymorph ... 79.0 meV per atom
ΔE_f ... 36 meV per atom
Total DFT energy (no corrections) ... -3.515 eV/atom
Space group ... I4/mcm, No. 140